The following is a GGA-PBEsol calculation of a relaxed YAgSe2 crystal, from the Alexandria database.

Calculated values
* Fermi-level density of states: 0.000 states/eV/atom
* VASP energy: -5.625 eV/atom
* crystal system: trigonal
* raw formation energy: -4.67 eV per formula unit

Lattice parameters (Å, degrees): 4.1172 4.1172 18.7364 90.00 90.00 120.00
Closest atoms and distances in Å follow each position.
Space group R-3m (No. 166, hexagonal axes)
Inequivalent atoms, fractional coordinates:
Y1 0.0000 0.0000 0.0000 (multiplicity 3)  6 Se 2.85
Ag1 0.0000 0.0000 0.5000 (multiplicity 3)  6 Se 2.84
Se1 0.0000 0.0000 0.2494 (multiplicity 6)  3 Ag 2.84, 3 Y 2.85